Entry 1:
DFT (PBE) results for HfSn3C after structural relaxation.

Summary:
Formation enthalpy at 0 K: 0.8945 eV per atom
M_tot: 0.0 μB/f.u.

a b c (Å): 4.7271 4.7271 4.7271
angles (deg): 90.00 90.00 90.00
Sites, in units of the cell vectors:
C: 0.0000 0.0000 0.0000
Sn: 0.5000 0.0000 0.0000
Sn: 0.0000 0.5000 0.0000
Hf: 0.5000 0.5000 0.5000
Sn: 0.0000 0.0000 0.5000



Entry 2:
DFT (PBE) results for HoGa4Cu4 after structural relaxation.

Summary:
Formation enthalpy at 0 K: -0.2432 eV per atom
M_tot: 0.0 μB/f.u.

a b c (Å): 5.7442 5.7442 8.6852
angles (deg): 90.00 90.00 90.00
Sites, in units of the cell vectors:
Cu: 0.7842 0.5000 0.9214
Ga: 0.0000 0.2727 0.7056
Cu: 0.2842 0.0000 0.5786
Cu: 0.7158 0.0000 0.5786
Ga: 0.7727 0.5000 0.2056
Ho: 0.5000 0.5000 0.5000
Ga: 0.2273 0.5000 0.2056
Ga: 0.7273 0.0000 0.2944
Cu: 0.2158 0.5000 0.9214
Cu: 0.0000 0.2842 0.4214
Ga: 0.5000 0.2273 0.7944
Cu: 0.5000 0.7842 0.0786
Ga: 0.5000 0.7727 0.7944
Ho: 0.0000 0.0000 0.0000
Cu: 0.0000 0.7158 0.4214
Ga: 0.2727 0.0000 0.2944
Cu: 0.5000 0.2158 0.0786
Ga: 0.0000 0.7273 0.7056



Entry 3:
DFT (PBE) results for CoOs2Se after structural relaxation.

Summary:
Formation energy without anion corrections: 0.7365 eV per atom
M_tot: 2.0 μB/f.u.

a b c (Å): 2.7241 2.7241 9.3986
angles (deg): 90.00 90.00 119.14
Site moments in Bohr magnetons follow the coordinates.
Sites, in units of the cell vectors:
Co: 0.5000 0.5000 0.7560  1.46
Os: 0.0000 0.0000 0.9851  0.38
Se: 0.0000 0.0000 0.5371  0.03
Os: 0.5000 0.5000 0.2218  0.10